--- A ---
Mg2SbSe | GGA-PBE | optimized geometry

As for the crystal system: monoclinic.

Lattice parameters (Å, degrees): 5.1036 6.2833 4.0172 74.26 76.90 120.59
Fractional positions:
Se: 0.5000 0.0000 0.5000
Sb: 0.5000 0.5000 0.0000
Mg: 0.0000 0.0000 0.0000
Mg: 0.0000 0.5000 0.5000

---

--- B ---
Mg2SbSe | GGA-PBE | optimized geometry

As for the crystal system: cubic.

Lattice parameters (Å, degrees): 5.1038 5.1038 5.1038 60.00 60.00 60.00
Fractional positions:
Mg: 0.2500 0.2500 0.2500
Mg: 0.0000 0.0000 0.0000
Se: 0.7500 0.7500 0.7500
Sb: 0.5000 0.5000 0.5000

---

A is favored, and the nearest alternative lies 34.5 kJ/mol of atoms above it.

---

--- A ---
K2YFe | GGA-PBE | optimized geometry

As for the crystal system: orthorhombic.

Lattice parameters (Å, degrees): 3.4332 3.4332 12.6375 90.00 90.00 111.03
Fractional positions:
Y: 0.5000 0.5000 0.2500
K: 0.0000 0.0000 0.9658
K: 0.0000 0.0000 0.5342
Fe: 0.5000 0.5000 0.7500

---

--- B ---
K2YFe | GGA-PBE | optimized geometry

As for the crystal system: orthorhombic.

Lattice parameters (Å, degrees): 7.1192 7.1192 3.5846 90.00 90.00 128.50
Fractional positions:
Fe: 0.0000 0.5000 0.5000
K: 0.0000 0.0000 0.0000
K: 0.5000 0.5000 0.0000
Y: 0.5000 0.0000 0.5000

---

A is favored, and the nearest alternative lies 3.5 kJ/mol of atoms above it.

---

--- A ---
B5C7 | GGA-PBE | optimized geometry

As for the crystal system: monoclinic.

Lattice parameters (Å, degrees): 4.6686 4.6686 7.5786 114.63 114.63 32.53
Fractional positions:
C: 0.4924 0.4924 0.3751
C: 0.8430 0.8430 0.5452
C: 0.3433 0.3433 0.1700
C: 0.9916 0.9916 0.9979
C: 0.1554 0.1554 0.6919
C: 0.8382 0.8382 0.0508
C: 0.9945 0.9945 0.4980
B: 0.6659 0.6659 0.3584
B: 0.6784 0.6784 0.8292
B: 0.1698 0.1698 0.1880
B: 0.5244 0.5244 0.9224
B: 0.3031 0.3031 0.6231

---

--- B ---
B5C7 | GGA-PBE | optimized geometry

As for the crystal system: trigonal.

Lattice parameters (Å, degrees): 2.5679 2.5679 13.8066 90.00 90.00 120.00
Fractional positions:
B: 0.3333 0.6667 0.5256
B: 0.3333 0.6667 0.6484
B: 0.6667 0.3333 0.3172
B: 0.6667 0.3333 0.8536
B: 0.6667 0.3333 0.7309
C: 0.0000 0.0000 0.4710
C: 0.0000 0.0000 0.3691
C: 0.3333 0.6667 0.0514
C: 0.0000 0.0000 0.9043
C: 0.3333 0.6667 0.1642
C: 0.6667 0.3333 0.2007
C: 0.0000 0.0000 0.0135

---

A is favored, and the nearest alternative lies 5.4 kJ/mol of atoms above it.

---

--- A ---
MnMo2Ru | GGA-PBE | optimized geometry

As for the crystal system: orthorhombic.

Lattice parameters (Å, degrees): 2.6881 2.6881 8.4102 90.00 90.00 108.01
Fractional positions:
Mn: 0.5000 0.5000 0.7500
Mo: 0.0000 0.0000 0.5095
Mo: 0.0000 0.0000 0.9905
Ru: 0.5000 0.5000 0.2500

---

--- B ---
MnMo2Ru | GGA-PBE | optimized geometry

As for the crystal system: monoclinic.

Lattice parameters (Å, degrees): 4.2167 2.7111 5.2638 75.98 90.00 90.00
Fractional positions:
Ru: 0.5000 0.2500 0.2500
Mn: 0.5000 0.7500 0.7500
Mo: 0.0000 0.9897 0.9948
Mo: 0.0000 0.5103 0.5052

---

B is favored, and the nearest alternative lies 4.4 kJ/mol of atoms above it.

---

--- A ---
Y3HgC | GGA-PBE | optimized geometry

As for the crystal system: tetragonal.

Lattice parameters (Å, degrees): 5.2707 5.2707 12.1528 77.48 77.48 90.00
Fractional positions:
C: 0.8530 0.3530 0.2940
C: 0.6470 0.1470 0.7060
Y: 0.1259 0.3629 0.7481
Y: 0.1111 0.8741 0.2519
Y: 0.3048 0.3048 0.3903
Y: 0.1259 0.8889 0.7481
Y: 0.6952 0.6952 0.6097
Y: 0.6371 0.8741 0.2519
Hg: 0.0000 0.0000 0.0000
Hg: 0.2500 0.7500 0.5000

---

--- B ---
Y3HgC | GGA-PBE | optimized geometry

As for the crystal system: monoclinic.

Lattice parameters (Å, degrees): 29.9443 11.4980 11.4980 160.95 165.18 14.82
Fractional positions:
C: 0.6030 0.0603 0.9397
C: 0.3970 0.9397 0.0603
Y: 0.8158 0.0490 0.9510
Y: 0.7016 0.8340 0.1660
Y: 0.6415 0.1178 0.8822
Y: 0.3585 0.8822 0.1178
Y: 0.2984 0.1660 0.8340
Y: 0.1842 0.9510 0.0490
Hg: 0.1041 0.8041 0.1959
Hg: 0.8959 0.1959 0.8041

---

B is favored, and the nearest alternative lies 105.0 kJ/mol of atoms above it.

---

--- A ---
ZrReTe2 | GGA-PBE | optimized geometry

As for the crystal system: cubic.

Lattice parameters (Å, degrees): 4.9750 4.9750 4.9750 60.00 60.00 60.00
Fractional positions:
Re: 0.5000 0.5000 0.5000
Zr: 0.7500 0.7500 0.7500
Te: 0.0000 0.0000 0.0000
Te: 0.2500 0.2500 0.2500

---

--- B ---
ZrReTe2 | GGA-PBE | optimized geometry

As for the crystal system: tetragonal.

Lattice parameters (Å, degrees): 3.2871 3.2871 8.8989 90.00 90.00 90.00
Fractional positions:
Zr: 0.0000 0.0000 0.5419
Te: 0.5000 0.5000 0.3037
Te: 0.0000 0.0000 0.9129
Re: 0.5000 0.5000 0.7416

---

B is favored, and the nearest alternative lies 71.8 kJ/mol of atoms above it.